Record 1
A geometry-optimized NaAcTi2O6 structure, computed with PBE-GGA.

a b c (Å): 7.3250 7.3250 6.7750
angles (deg): 106.95 106.95 99.86
Sites, in units of the cell vectors:
Na (0.2234, 0.7766, 0.7500)
Na (0.7766, 0.2234, 0.2500)
Ac (0.1054, 0.8946, 0.2500)
Ac (0.8946, 0.1054, 0.7500)
Ti (0.2837, 0.4289, 0.3100)
Ti (0.4289, 0.2837, 0.8100)
Ti (0.5711, 0.7163, 0.1900)
Ti (0.7163, 0.5711, 0.6900)
O (0.0733, 0.2016, 0.1630)
O (0.1632, 0.6146, 0.3802)
O (0.2016, 0.0733, 0.6630)
O (0.3514, 0.4174, 0.0490)
O (0.3854, 0.8368, 0.1198)
O (0.4174, 0.3514, 0.5490)
O (0.5826, 0.6486, 0.4510)
O (0.6146, 0.1632, 0.8802)
O (0.6486, 0.5826, 0.9510)
O (0.7984, 0.9267, 0.3370)
O (0.8368, 0.3854, 0.6198)
O (0.9267, 0.7984, 0.8370)

Summary:
The uncorrected formation energy is -2.998 eV per atom. The value obtained for the total magnetization is 0.00 μB/atom. As for the density of states at the Fermi level: 0.000 states/eV/f.u. The calculation puts the total energy at -8.09 eV/atom. Its mass density is 4.6 Mg/m³.

Record 2
A geometry-optimized Pr6ZnRu2 structure, computed with PBE-GGA.

a b c (Å): 8.7420 8.7420 8.7420
angles (deg): 112.49 111.02 105.00
Sites, in units of the cell vectors:
Pr (0.0444, 0.2390, 0.8053)
Pr (0.1798, 0.2792, 0.4590)
Pr (0.1798, 0.7208, 0.9006)
Pr (0.3271, 0.0129, 0.6858)
Pr (0.3271, 0.6412, 0.3142)
Pr (0.4337, 0.2390, 0.1947)
Pr (0.5663, 0.7610, 0.8053)
Pr (0.6729, 0.3588, 0.6858)
Pr (0.6729, 0.9871, 0.3142)
Pr (0.8202, 0.2792, 0.0994)
Pr (0.8202, 0.7208, 0.5410)
Pr (0.9556, 0.7610, 0.1947)
Zn (0.0000, 0.0000, 0.0000)
Zn (0.5000, 0.5000, 0.0000)
Ru (0.1238, 0.6238, 0.5000)
Ru (0.3198, 0.0000, 0.3198)
Ru (0.6802, 0.0000, 0.6802)
Ru (0.8762, 0.3762, 0.5000)

Summary:
The value obtained for the total magnetization is 0.00 μB/atom. As for the density of states at the Fermi level: 8.017 states/eV/f.u. The calculation puts the total energy at -5.58 eV/atom. Its formation energy is -188 meV per atom. Its mass density is 7.2 Mg/m³.

Record 3
A geometry-optimized Pm3Er2Tm6 structure, computed with PBE-GGA.

a b c (Å): 6.1063 7.8790 7.9167
angles (deg): 107.43 104.77 97.26
Sites, in units of the cell vectors:
Pm (0.0000, 0.0000, 0.0000)
Pm (0.3640, 0.2729, 0.4546)
Pm (0.6360, 0.7271, 0.5454)
Er (0.0900, 0.8172, 0.3629)
Er (0.9100, 0.1828, 0.6371)
Tm (0.1817, 0.6357, 0.7281)
Tm (0.2730, 0.4549, 0.0898)
Tm (0.4541, 0.0927, 0.8196)
Tm (0.5459, 0.9073, 0.1804)
Tm (0.7270, 0.5451, 0.9102)
Tm (0.8183, 0.3643, 0.2719)

Summary:
The value obtained for the total magnetization is 0.00 μB/atom. As for the density of states at the Fermi level: 14.927 states/eV/f.u. The calculation puts the total energy at -4.54 eV/atom. Its formation energy is 22 meV per atom. Its mass density is 8.6 Mg/m³.

Record 4
A geometry-optimized LiAcRh2 structure, computed with PBE-GGA.

a b c (Å): 4.7441 4.7441 4.7441
angles (deg): 60.00 60.00 60.00
Sites, in units of the cell vectors:
Li (0.0000, 0.0000, 0.0000)
Ac (0.5000, 0.5000, 0.5000)
Rh (0.2500, 0.2500, 0.2500)
Rh (0.7500, 0.7500, 0.7500)

Summary:
The value obtained for the total magnetization is 0.00 μB/atom. As for the density of states at the Fermi level: 0.224 states/eV/f.u. The calculation puts the total energy at -5.55 eV/atom. Its formation energy is -368 meV per atom. Its mass density is 9.7 Mg/m³.

Record 5
A geometry-optimized TaCu2P structure, computed with PBE-GGA.

a b c (Å): 2.8294 4.1683 4.8624
angles (deg): 90.00 103.19 90.00
Sites, in units of the cell vectors:
Ta (0.0000, 0.0000, 0.0000)
Cu (0.4070, 0.5000, 0.7405)
Cu (0.5930, 0.5000, 0.2595)
P (0.5000, 0.0000, 0.5000)

Summary:
The value obtained for the total magnetization is 0.00 μB/atom. As for the density of states at the Fermi level: 1.888 states/eV/f.u. The calculation puts the total energy at -6.38 eV/atom. Its formation energy is -20 meV per atom. Its mass density is 10.1 Mg/m³.

Record 6
A geometry-optimized In2Pd2Se structure, computed with PBE-GGA.

a b c (Å): 7.7879 7.7879 7.7879
angles (deg): 151.48 151.48 40.78
Sites, in units of the cell vectors:
In (0.1108, 0.1108, 0.0000)
In (0.8892, 0.8892, 0.0000)
Pd (0.2500, 0.7500, 0.5000)
Pd (0.7500, 0.2500, 0.5000)
Se (0.5000, 0.5000, 0.0000)

Summary:
The uncorrected formation energy is -0.217 eV per atom. The value obtained for the total magnetization is 0.00 μB/atom. As for the density of states at the Fermi level: 1.278 states/eV/f.u. The calculation puts the total energy at -4.09 eV/atom. Its mass density is 8.1 Mg/m³.

Record 7
A geometry-optimized Nb5W3 structure, computed with PBE-GGA.

a b c (Å): 3.2527 3.2527 13.1070
angles (deg): 90.00 90.00 90.00
Sites, in units of the cell vectors:
Nb (0.0000, 0.0000, 0.0000)
Nb (0.0000, 0.0000, 0.2454)
Nb (0.0000, 0.0000, 0.7546)
Nb (0.5000, 0.5000, 0.3778)
Nb (0.5000, 0.5000, 0.6222)
W (0.0000, 0.0000, 0.5000)
W (0.5000, 0.5000, 0.1249)
W (0.5000, 0.5000, 0.8751)

Summary:
The value obtained for the total magnetization is 0.00 μB/atom. As for the density of states at the Fermi level: 8.017 states/eV/f.u. The calculation puts the total energy at -11.20 eV/atom. Its formation energy is -49 meV per atom. Its mass density is 12.2 Mg/m³.

Record 8
A geometry-optimized CrNi structure, computed with PBE-GGA.

a b c (Å): 4.0122 4.0122 4.7754
angles (deg): 90.00 90.00 120.00
Sites, in units of the cell vectors:
Cr (0.3333, 0.6667, 0.2500)
Cr (0.6667, 0.3333, 0.7500)
Ni (0.3333, 0.6667, 0.7500)
Ni (0.6667, 0.3333, 0.2500)

Summary:
The value obtained for the total magnetization is 1.47 μB/atom. As for the density of states at the Fermi level: 3.748 states/eV/f.u. The calculation puts the total energy at -6.55 eV/atom. Its formation energy is 1154 meV per atom. Its mass density is 5.5 Mg/m³.

Record 9
A geometry-optimized CuIr structure, computed with PBE-GGA.

a b c (Å): 2.7369 2.7369 7.1516
angles (deg): 90.00 90.00 90.00
Sites, in units of the cell vectors:
Cu (0.2500, 0.2500, 0.1146)
Cu (0.7500, 0.7500, 0.8854)
Ir (0.2500, 0.2500, 0.6277)
Ir (0.7500, 0.7500, 0.3723)

Summary:
The value obtained for the total magnetization is 0.00 μB/atom. As for the density of states at the Fermi level: 1.658 states/eV/f.u. The calculation puts the total energy at -6.41 eV/atom. Its formation energy is 66 meV per atom. Its mass density is 15.9 Mg/m³.

Record 10
A geometry-optimized BaHAu2 structure, computed with PBE-GGA.

a b c (Å): 5.2550 5.2550 5.2550
angles (deg): 60.00 60.00 60.00
Sites, in units of the cell vectors:
Ba (0.0000, 0.0000, 0.0000)
H (0.5000, 0.5000, 0.5000)
Au (0.2500, 0.2500, 0.2500)
Au (0.7500, 0.7500, 0.7500)

Summary:
The value obtained for the total magnetization is 0.00 μB/atom. As for the density of states at the Fermi level: 1.685 states/eV/f.u. The calculation puts the total energy at -2.78 eV/atom. Its mass density is 8.6 Mg/m³.

Record 11
A geometry-optimized ReSb2Te structure, computed with PBE-GGA.

a b c (Å): 5.1681 5.1681 3.4681
angles (deg): 90.00 90.00 105.04
Sites, in units of the cell vectors:
Re (0.0000, 0.0000, 0.0000)
Sb (0.0000, 0.5000, 0.5000)
Sb (0.5000, 0.0000, 0.5000)
Te (0.5000, 0.5000, 0.0000)

Summary:
The uncorrected formation energy is 0.930 eV per atom. The value obtained for the total magnetization is 0.04 μB/atom. As for the density of states at the Fermi level: 4.771 states/eV/f.u. The calculation puts the total energy at -5.03 eV/atom. Its mass density is 10.3 Mg/m³.

Record 12
A geometry-optimized CsRbHgO structure, computed with PBE-GGA.

a b c (Å): 5.6339 5.6339 5.6339
angles (deg): 60.00 60.00 60.00
Sites, in units of the cell vectors:
Cs (0.0000, 0.0000, 0.0000)
Rb (0.5000, 0.5000, 0.5000)
Hg (0.7500, 0.7500, 0.7500)
O (0.2500, 0.2500, 0.2500)

Summary:
The uncorrected formation energy is -0.421 eV per atom. The value obtained for the total magnetization is 0.02 μB/atom. The calculation puts the total energy at -2.19 eV/atom. Its mass density is 5.7 Mg/m³.